No. 1
A relaxed structure of Ba4AlCd, computed with PBE-GGA.

The structure in POSCAR format:
```
Ba4AlCd
1.0
4.259 -0.001 0.000
0.001 4.259 0.000
-0.001 -0.001 15.251
Ba Al Cd
4 1 1
direct
0.500 0.500 0.874 Ba
0.500 0.500 0.126 Ba
0.000 0.000 0.634 Ba
0.000 0.000 0.366 Ba
0.000 0.000 0.000 Al
0.500 0.500 0.500 Cd
```

Results
For the formation energy from the elements, the calculation gives -0.15 eV per atom. Its energy above the lowest structure with this stoichiometry is 0.000 eV/atom. The space-group type is P4/mmm. The value obtained for the total moment is 0.000 μB per atom.



No. 2
A relaxed structure of HoLuHgRh, computed with PBE-GGA.

The structure in POSCAR format:
```
HoLuHgRh
1.0
-1.882 -4.548 0.810
2.883 -4.030 -0.570
1.441 -2.621 3.992
Lu Rh Hg Ho
1 1 1 1
direct
0.750 0.750 0.750 Lu
0.000 0.000 0.000 Rh
0.500 0.500 0.500 Hg
0.250 0.250 0.250 Ho
```

Results
For the formation energy from the elements, the calculation gives -0.64 eV per atom. The space-group type is F-43m. The value obtained for the total moment is 0.000 μB per atom.



No. 3
A relaxed structure of TbPm12Dy5, computed with PBE-GGA.

The structure in POSCAR format:
```
TbPm12Dy5
1.0
11.160 0.000 -0.006
5.580 9.013 -0.003
0.004 0.000 5.996
Tb Pm Dy
1 12 5
direct
0.000 0.000 0.000 Tb
0.837 0.000 0.490 Pm
0.163 0.000 0.510 Pm
0.663 0.000 0.990 Pm
0.337 0.000 0.010 Pm
0.329 0.665 0.990 Pm
0.005 0.665 0.010 Pm
0.995 0.335 0.990 Pm
0.671 0.335 0.010 Pm
0.495 0.334 0.509 Pm
0.829 0.666 0.509 Pm
0.171 0.334 0.491 Pm
0.505 0.666 0.491 Pm
0.500 0.000 0.500 Dy
0.166 0.667 0.500 Dy
0.834 0.333 0.500 Dy
0.666 0.668 0.000 Dy
0.334 0.332 0.000 Dy
```

Results
For the formation energy from the elements, the calculation gives 0.11 eV per atom. The space-group type is C2/m. The value obtained for the total moment is 0.000 μB per atom.



No. 4
A relaxed structure of CsCdPb2, computed with PBE-GGA.

The structure in POSCAR format:
```
CsCdPb2
1.0
3.997 0.000 0.000
0.000 3.997 0.000
0.000 0.000 8.891
Pb Cs Cd
2 1 1
direct
0.000 0.000 0.819 Pb
0.000 0.000 0.181 Pb
0.500 0.500 0.500 Cs
0.500 0.500 0.000 Cd
```

Results
For the formation energy from the elements, the calculation gives -0.06 eV per atom. The space-group type is P4/mmm. The value obtained for the total moment is 0.000 μB per atom.



No. 5
A relaxed structure of La2CoSb, computed with PBE-GGA.

The structure in POSCAR format:
```
La2CoSb
1.0
4.348 -0.026 0.019
2.202 3.749 0.019
2.147 1.221 7.127
Co La Sb
1 2 1
direct
0.750 0.750 0.750 Co
0.012 0.012 0.964 La
0.488 0.488 0.536 La
0.250 0.250 0.250 Sb
```

Results
As for the formation energy (no corrections): -40 kJ/mol of atoms. Its energy above the lowest structure with this stoichiometry is 0.134 eV/atom. The space-group type is R-3m. The value obtained for the total moment is 0.000 μB per atom.



No. 6
A relaxed structure of Ag5PS4Cl2, computed with PBE-GGA.

The structure in POSCAR format:
```
Ag5PS4Cl2
1.0
-3.630 -3.607 3.920
5.621 2.459 1.979
-3.523 6.136 2.384
Ag P S Cl
5 1 4 2
direct
0.324 0.939 0.781 Ag
0.592 0.592 0.500 Ag
0.324 0.939 0.219 Ag
0.939 0.324 0.219 Ag
0.939 0.324 0.781 Ag
0.534 0.534 0.000 P
0.346 0.346 0.771 S
0.346 0.346 0.229 S
0.882 0.588 0.000 S
0.588 0.882 0.000 S
0.720 0.058 0.500 Cl
0.058 0.720 0.500 Cl
```

Results
As for the formation energy (no corrections): -26 kJ/mol of atoms. The space-group type is Amm2. The value obtained for the total moment is 0.000 μB per atom.